## Hf5FeRu4 (PBE-GGA)

Data for a relaxed structure of Hf5FeRu4.

The space group is P4/mmm (No. 123) and the conventional cell measures 3.2263, 3.2263 and 16.1180 Å, with angles of 90.00, 90.00 and 90.00 degrees. Symmetry generates all atoms from Hf at (0.0000, 0.0000, 0.0000), Hf at (0.0000, 0.0000, 0.2025), Hf at (0.0000, 0.0000, 0.4046), Fe at (0.5000, 0.5000, 0.5000), Ru at (0.5000, 0.5000, 0.1010) and Ru at (0.5000, 0.5000, 0.3027).

The density is 13.39 g cm⁻³. The total energy is -102.462 eV/f.u. The total magnetization comes out at 0.295 Bohr magnetons per cell. As for the formation energy: -713 meV per atom.

=====

## ZrSc2Sb (PBE-GGA)

Data for a relaxed structure of ZrSc2Sb.

The space group is I-4m2 (No. 119) and the conventional cell measures 4.3336, 4.3336 and 9.5697 Å, with angles of 90.00, 90.00 and 90.00 degrees. Symmetry generates all atoms from Zr at (0.0000, 0.0000, 0.0000), Sc at (0.0000, 0.0000, 0.5000), Sc at (0.0000, 0.5000, 0.2500) and Sb at (0.0000, 0.5000, 0.7500).

The calculation puts the raw formation energy at -0.465 eV/atom. The density is 5.60 g cm⁻³. The total energy is -27.192 eV/f.u. The total magnetization comes out at 0.000 Bohr magnetons per cell.

=====

Repeat the first record exactly.
## Hf5FeRu4 (PBE-GGA)

Data for a relaxed structure of Hf5FeRu4.

The space group is P4/mmm (No. 123) and the conventional cell measures 3.2263, 3.2263 and 16.1180 Å, with angles of 90.00, 90.00 and 90.00 degrees. Symmetry generates all atoms from Hf at (0.0000, 0.0000, 0.0000), Hf at (0.0000, 0.0000, 0.2025), Hf at (0.0000, 0.0000, 0.4046), Fe at (0.5000, 0.5000, 0.5000), Ru at (0.5000, 0.5000, 0.1010) and Ru at (0.5000, 0.5000, 0.3027).

The density is 13.39 g cm⁻³. The total energy is -102.462 eV/f.u. The total magnetization comes out at 0.295 Bohr magnetons per cell. As for the formation energy: -713 meV per atom.

=====

What did the second record say?
## ZrSc2Sb (PBE-GGA)

Data for a relaxed structure of ZrSc2Sb.

The space group is I-4m2 (No. 119) and the conventional cell measures 4.3336, 4.3336 and 9.5697 Å, with angles of 90.00, 90.00 and 90.00 degrees. Symmetry generates all atoms from Zr at (0.0000, 0.0000, 0.0000), Sc at (0.0000, 0.0000, 0.5000), Sc at (0.0000, 0.5000, 0.2500) and Sb at (0.0000, 0.5000, 0.7500).

The calculation puts the raw formation energy at -0.465 eV/atom. The density is 5.60 g cm⁻³. The total energy is -27.192 eV/f.u. The total magnetization comes out at 0.000 Bohr magnetons per cell.